TlZnI3: relaxed, PBE.

Cell: 8.624 8.624 6.231 Å, 91.36 91.36 75.01°
Atoms (fractional coordinates):
Tl: 0.000 0.000 0.000
Tl: 0.569 0.569 0.285
Zn: 0.114 0.454 0.142
Zn: 0.454 0.114 0.142
I: 0.121 0.703 0.379
I: 0.185 0.185 0.383
I: 0.384 0.384 0.902
I: 0.448 0.866 0.906
I: 0.703 0.121 0.379
I: 0.866 0.448 0.906

ΔE to the lowest computed polymorph, eV/atom: 0.0000
SG: Cm (8)
DOS at the Fermi energy, states/eV per atom: 0.000
Crystal system: monoclinic
Uncorrected formation energy, meV per atom: -603
Total magnetization, μB per cell: 0.0

MgAgSe2: relaxed, PBE.

Cell: 3.766 3.766 12.910 Å, 90.00 90.00 90.00°
Atoms (fractional coordinates):
Mg: 0.000 0.000 0.000
Mg: 0.500 0.500 0.500
Ag: 0.000 0.500 0.250
Ag: 0.500 0.000 0.750
Se: 0.000 0.000 0.500
Se: 0.000 0.500 0.750
Se: 0.500 0.000 0.250
Se: 0.500 0.500 0.000

SG: I-4m2 (119)
DOS at the Fermi energy, states/eV per atom: 0.524
Crystal system: tetragonal
Uncorrected formation energy, meV per atom: -356
Total magnetization, μB per cell: 0.0

Pr2PaC: relaxed, PBE.

Cell: 3.498 3.498 29.458 Å, 90.00 90.00 120.00°
Atoms (fractional coordinates):
Pr: 0.000 0.000 0.116
Pr: 0.000 0.000 0.884
Pr: 0.333 0.667 0.550
Pr: 0.333 0.667 0.783
Pr: 0.667 0.333 0.217
Pr: 0.667 0.333 0.450
Pa: 0.000 0.000 0.000
Pa: 0.333 0.667 0.667
Pa: 0.667 0.333 0.333
C: 0.000 0.000 0.500
C: 0.333 0.667 0.167
C: 0.667 0.333 0.833

SG: R-3m (166)
DOS at the Fermi energy, states/eV per atom: 1.207
Crystal system: trigonal
Total magnetization, μB per cell: 0.0
Formation enthalpy at 0 K, eV/f.u.: 1.352

Ca2Zn2GaNi5: relaxed, PBE.

Cell: 9.512 9.512 3.377 Å, 90.00 90.00 90.00°
Atoms (fractional coordinates):
Ca: 0.174 0.326 0.000
Ca: 0.326 0.826 0.000
Ca: 0.674 0.174 0.000
Ca: 0.826 0.674 0.000
Zn: 0.125 0.625 0.000
Zn: 0.375 0.125 0.000
Zn: 0.625 0.875 0.000
Zn: 0.875 0.375 0.000
Ga: 0.000 0.000 0.000
Ga: 0.500 0.500 0.000
Ni: 0.000 0.500 0.500
Ni: 0.059 0.807 0.500
Ni: 0.193 0.059 0.500
Ni: 0.307 0.559 0.500
Ni: 0.441 0.307 0.500
Ni: 0.500 0.000 0.500
Ni: 0.559 0.693 0.500
Ni: 0.693 0.441 0.500
Ni: 0.807 0.941 0.500
Ni: 0.941 0.193 0.500

SG: P4/mbm (127)
DOS at the Fermi energy, states/eV per atom: 0.552
Crystal system: tetragonal
Total magnetization, μB per cell: 0.0
Formation enthalpy at 0 K, eV/f.u.: -1.660

Al2AsRu: relaxed, PBE.

Cell: 3.024 4.438 4.684 Å, 90.00 90.44 90.00°
Atoms (fractional coordinates):
Al: 0.229 0.000 0.264
Al: 0.771 0.000 0.736
As: 0.000 0.500 0.000
Ru: 0.500 0.500 0.500

SG: P2/m (10)
DOS at the Fermi energy, states/eV per atom: 0.617
Crystal system: monoclinic
Total magnetization, μB per cell: 0.0
Formation enthalpy at 0 K, eV/f.u.: -0.015

Pr2Ge3Ir: relaxed, PBE.

Cell: 8.559 8.547 6.055 Å, 69.37 69.17 41.46°
Atoms (fractional coordinates):
Pr: 0.246 0.754 0.754
Pr: 0.250 0.250 0.250
Pr: 0.750 0.750 0.750
Pr: 0.754 0.246 0.246
Ge: 0.163 0.667 0.333
Ge: 0.330 0.330 0.670
Ge: 0.333 0.837 0.163
Ge: 0.667 0.163 0.837
Ge: 0.670 0.670 0.330
Ge: 0.837 0.333 0.667
Ir: 0.166 0.166 0.834
Ir: 0.834 0.834 0.166

SG: Fmmm (69)
DOS at the Fermi energy, states/eV per atom: 0.388
Crystal system: orthorhombic
Total magnetization, μB per cell: 0.0
Formation enthalpy at 0 K, eV/f.u.: -4.726

Mn4CdPb: relaxed, PBE.

Cell: 5.283 5.283 5.283 Å, 60.00 60.00 60.00°
Atoms (fractional coordinates):
Mn: 0.125 0.125 0.125
Mn: 0.125 0.125 0.624
Mn: 0.125 0.624 0.125
Mn: 0.624 0.125 0.125
Cd: 0.500 0.500 0.500
Pb: 0.750 0.750 0.750

SG: F-43m (216)
DOS at the Fermi energy, states/eV per atom: 1.250
Crystal system: cubic
Total magnetization, μB per cell: 13.2
Formation enthalpy at 0 K, eV/f.u.: 3.063

CeSc: relaxed, PBE.

Cell: 3.430 5.294 5.702 Å, 90.00 94.22 90.00°
Atoms (fractional coordinates):
Ce: 0.161 0.250 0.447
Ce: 0.839 0.750 0.553
Sc: 0.294 0.750 0.070
Sc: 0.706 0.250 0.930

ΔE to the lowest computed polymorph, eV/atom: 0.0388
SG: P2_1/m (11)
DOS at the Fermi energy, states/eV per atom: 2.375
Crystal system: monoclinic
Total magnetization, μB per cell: 0.0
Formation enthalpy at 0 K, eV/f.u.: 0.124

WCl: relaxed, PBE.

Cell: 3.762 3.762 4.810 Å, 90.00 90.00 90.00°
Atoms (fractional coordinates):
W: 0.250 0.250 0.127
W: 0.750 0.750 0.873
Cl: 0.250 0.750 0.500
Cl: 0.750 0.250 0.500

ΔE to the lowest computed polymorph, eV/atom: 1.2911
SG: P4/nmm (129)
DOS at the Fermi energy, states/eV per atom: 0.568
Crystal system: tetragonal
Uncorrected formation energy, meV per atom: 1048
Total magnetization, μB per cell: 0.0

Ca2Cu: relaxed, PBE.

Cell: 4.679 4.679 8.006 Å, 90.00 90.00 90.00°
Atoms (fractional coordinates):
Ca: 0.250 0.250 0.128
Ca: 0.250 0.750 0.500
Ca: 0.750 0.250 0.500
Ca: 0.750 0.750 0.872
Cu: 0.250 0.250 0.747
Cu: 0.750 0.750 0.253

SG: P4/nmm (129)
DOS at the Fermi energy, states/eV per atom: 0.646
Crystal system: tetragonal
Total magnetization, μB per cell: 0.0
Formation enthalpy at 0 K, eV/f.u.: -0.014

Zn2CrW: relaxed, PBE.

Cell: 3.182 4.347 8.212 Å, 90.00 90.00 90.00°
Atoms (fractional coordinates):
Zn: 0.000 0.000 0.000
Zn: 0.000 0.500 0.255
Zn: 0.500 0.000 0.755
Zn: 0.500 0.500 0.500
Cr: 0.000 0.500 0.762
Cr: 0.500 0.000 0.262
W: 0.000 0.000 0.483
W: 0.500 0.500 0.983

ΔE to the lowest computed polymorph, eV/atom: 0.1066
SG: Imm2 (44)
DOS at the Fermi energy, states/eV per atom: 0.530
Crystal system: orthorhombic
Total magnetization, μB per cell: 0.0
Formation enthalpy at 0 K, eV/f.u.: 1.141

Rb3RuCl2F6: relaxed, PBE.

Cell: 8.927 8.927 4.884 Å, 90.62 90.62 53.16°
Atoms (fractional coordinates):
Rb: 0.000 0.000 0.000
Rb: 0.000 0.500 0.500
Rb: 0.500 0.000 0.500
Ru: 0.500 0.500 0.500
Cl: 0.196 0.196 0.989
Cl: 0.804 0.804 0.011
F: 0.284 0.629 0.728
F: 0.371 0.716 0.272
F: 0.395 0.395 0.309
F: 0.605 0.605 0.691
F: 0.629 0.284 0.728
F: 0.716 0.371 0.272

SG: C2/m (12)
DOS at the Fermi energy, states/eV per atom: 0.623
Crystal system: monoclinic
Uncorrected formation energy, meV per atom: -2029
Total magnetization, μB per cell: 3.1

| no. | calculated volume (Å³ per atom) |
| --- | --- |
| 1 | 44.742 |
| 2 | 22.893 |
| 3 | 26.012 |
| 4 | 15.276 |
| 5 | 15.716 |
| 6 | 22.623 |
| 7 | 17.377 |
| 8 | 25.814 |
| 9 | 17.019 |
| 10 | 29.205 |
| 11 | 14.198 |
| 12 | 25.960 |